(1)
Material: FePd8Pt2
Method: DFT, PBE
State: optimized geometry

CIF file:
```
data_FePd8Pt2
_chemical_formula_sum 'Fe2 Pd16 Pt4'
_space_group_name_H-M_alt 'C 1 2/m 1'
_space_group_IT_number 12
_space_group_name_Hall '-C 2y'
_cell_length_a 7.464
_cell_length_b 12.208
_cell_length_c 5.078
_cell_angle_alpha 90.00
_cell_angle_beta 129.64
_cell_angle_gamma 90.00
loop_
_atom_site_label
_atom_site_type_symbol
_atom_site_fract_x
_atom_site_fract_y
_atom_site_fract_z
Fe1 Fe 0.000 0.000 0.000
Pd1 Pd 0.000 0.217 0.000
Pd2 Pd 0.114 0.500 0.836
Pd3 Pd 0.209 0.110 0.593
Pt1 Pt 0.000 0.305 0.500
```

Properties
V = 356.32 Å³ per cell
Energy of formation from the pure elements = 0.17 eV per atom
Energy relative to the lowest polymorph listed for this composition = 22.9 kJ/mol of atoms
Calculated density = 12.1 g/cm3

(2)
Material: Sm3Co2Hg
Method: DFT, PBE
State: optimized geometry

CIF file:
```
data_Sm3Co2Hg
_chemical_formula_sum 'Sm6 Co4 Hg2'
_space_group_name_H-M_alt 'P m c 21'
_space_group_IT_number 26
_space_group_name_Hall 'P 2c -2'
_cell_length_a 3.905
_cell_length_b 9.524
_cell_length_c 7.919
_cell_angle_alpha 90.00
_cell_angle_beta 90.00
_cell_angle_gamma 90.00
loop_
_atom_site_label
_atom_site_type_symbol
_atom_site_fract_x
_atom_site_fract_y
_atom_site_fract_z
Sm1 Sm 0.000 0.077 0.000
Sm2 Sm 0.500 0.232 0.378
Sm3 Sm 0.500 0.372 0.809
Co1 Co 0.000 0.188 0.652
Co2 Co 0.500 0.078 0.714
Hg1 Hg 0.000 0.416 0.126
```

Properties
V = 294.48 Å³ per cell
Energy of formation from the pure elements = -0.18 eV per atom
Calculated density = 8.7 g/cm3